Material: YReBi2C
Method: DFT, PBE
State: relaxed

Values from the calculation:
Final energy (Ha/atom): -0.2050
Theoretical density (g/cm3): 7.8
Formation energy from the elements (eV/atom): 1.60
D(E_F) (states/eV per atom): 0.88
Size of the total moment (μB/atom): 0.36
Space-group type: P4/mmm, No. 123

Cell lengths 5.2181, 5.5006, 5.2181 Å; angles 90.00, 90.00, 90.00 degrees
Positions (direct):
Bi: 0.0000 0.0000 0.5000
Re: 0.0000 0.0000 0.0000
Bi: 0.5000 0.0000 0.0000
C: 0.5000 0.5000 0.5000
Y: 0.0000 0.5000 0.0000